1.
# PBE HoMnZnGa, optimized geometry
# formation enthalpy at 0 K	-0.847	eV per formula unit
data_HoMnZnGa
_chemical_formula_sum 'Ho4 Mn4 Zn4 Ga4'
_cell_length_a 6.5951
_cell_length_b 6.5951
_cell_length_c 6.5951
_cell_angle_alpha 90.00
_cell_angle_beta 90.00
_cell_angle_gamma 90.00
_space_group_name_H-M_alt 'F -4 3 m'
_space_group_IT_number 216
_space_group_name_Hall 'F -4 2 3'
loop_
_atom_site_label
_atom_site_type_symbol
_atom_site_fract_x
_atom_site_fract_y
_atom_site_fract_z
Ho1 Ho 0.0000 0.0000 0.0000
Mn1 Mn 0.0000 0.0000 0.5000
Zn1 Zn 0.2500 0.2500 0.7500
Ga1 Ga 0.2500 0.2500 0.2500

2.
# PBE Ac3Pr2Mg, optimized geometry
# formation enthalpy at 0 K	0.141	eV per formula unit
data_Ac3Pr2Mg
_chemical_formula_sum 'Ac12 Pr8 Mg4'
_cell_length_a 5.4878
_cell_length_b 16.5948
_cell_length_c 10.2125
_cell_angle_alpha 90.00
_cell_angle_beta 90.00
_cell_angle_gamma 90.00
_space_group_name_H-M_alt 'C m m m'
_space_group_IT_number 65
_space_group_name_Hall '-C 2 2'
loop_
_atom_site_label
_atom_site_type_symbol
_atom_site_fract_x
_atom_site_fract_y
_atom_site_fract_z
Ac1 Ac 0.0000 0.0000 0.2440
Ac2 Ac 0.0000 0.3313 0.2349
Pr1 Pr 0.0000 0.1667 0.5000
Pr2 Pr 0.0000 0.5000 0.0000
Pr3 Pr 0.0000 0.5000 0.5000
Mg1 Mg 0.0000 0.1620 0.0000

3.
# PBE La6SnPb2, optimized geometry
# formation enthalpy at 0 K	-2.339	eV per formula unit
# excess energy over the best structure of this formula in the dataset	0.267	eV/atom
data_La6SnPb2
_chemical_formula_sum 'La6 Sn1 Pb2'
_cell_length_a 9.5972
_cell_length_b 9.5972
_cell_length_c 3.4195
_cell_angle_alpha 90.00
_cell_angle_beta 90.00
_cell_angle_gamma 120.00
_space_group_name_H-M_alt 'P 6/m m m'
_space_group_IT_number 191
_space_group_name_Hall '-P 6 2'
loop_
_atom_site_label
_atom_site_type_symbol
_atom_site_fract_x
_atom_site_fract_y
_atom_site_fract_z
La1 La 0.0000 0.3283 0.0000
Sn1 Sn 0.0000 0.0000 0.5000
Pb1 Pb 0.3333 0.6667 0.5000

4.
# PBE LaSnCl2, optimized geometry
# formation energy without anion corrections	-22.6	kcal/mol of atoms
# excess energy over the best structure of this formula in the dataset	0.294	eV/atom
data_LaSnCl2
_chemical_formula_sum 'La4 Sn4 Cl8'
_cell_length_a 7.3994
_cell_length_b 7.3994
_cell_length_c 7.3994
_cell_angle_alpha 90.00
_cell_angle_beta 90.00
_cell_angle_gamma 90.00
_space_group_name_H-M_alt 'F m -3 m'
_space_group_IT_number 225
_space_group_name_Hall '-F 4 2 3'
loop_
_atom_site_label
_atom_site_type_symbol
_atom_site_fract_x
_atom_site_fract_y
_atom_site_fract_z
La1 La 0.0000 0.0000 0.0000
Sn1 Sn 0.0000 0.0000 0.5000
Cl1 Cl 0.2500 0.2500 0.2500

5.
# PBE CeZrGe, optimized geometry
# formation enthalpy at 0 K	-1.749	eV per formula unit
data_CeZrGe
_chemical_formula_sum 'Ce4 Zr4 Ge4'
_cell_length_a 7.5803
_cell_length_b 4.1336
_cell_length_c 8.9681
_cell_angle_alpha 90.00
_cell_angle_beta 90.00
_cell_angle_gamma 90.00
_space_group_name_H-M_alt 'P n m a'
_space_group_IT_number 62
_space_group_name_Hall '-P 2ac 2n'
loop_
_atom_site_label
_atom_site_type_symbol
_atom_site_fract_x
_atom_site_fract_y
_atom_site_fract_z
Ce1 Ce 0.0377 0.2500 0.1613
Zr1 Zr 0.1341 0.2500 0.5558
Ge1 Ge 0.2350 0.7500 0.3572

6.
# PBE PSeOF2, optimized geometry
# formation energy without anion corrections	-0.7	kcal/mol of atoms
# excess energy over the best structure of this formula in the dataset	0.473	eV/atom
data_PSeOF2
_chemical_formula_sum 'P1 Se1 O1 F2'
_cell_length_a 4.5609
_cell_length_b 4.5609
_cell_length_c 3.7500
_cell_angle_alpha 90.00
_cell_angle_beta 90.00
_cell_angle_gamma 90.00
_space_group_name_H-M_alt 'P 4/m m m'
_space_group_IT_number 123
_space_group_name_Hall '-P 4 2'
loop_
_atom_site_label
_atom_site_type_symbol
_atom_site_fract_x
_atom_site_fract_y
_atom_site_fract_z
P1 P 0.0000 0.0000 0.0000
Se1 Se 0.5000 0.5000 0.5000
O1 O 0.5000 0.5000 0.0000
F1 F 0.0000 0.5000 0.5000

7.
# PBE Pr3ReO7, optimized geometry
# formation energy without anion corrections	-63.9	kcal/mol of atoms
data_Pr3ReO7
_chemical_formula_sum 'Pr12 Re4 O28'
_cell_length_a 11.1086
_cell_length_b 7.6446
_cell_length_c 7.6409
_cell_angle_alpha 90.00
_cell_angle_beta 90.00
_cell_angle_gamma 90.00
_space_group_name_H-M_alt 'C m c m'
_space_group_IT_number 63
_space_group_name_Hall '-C 2c 2'
loop_
_atom_site_label
_atom_site_type_symbol
_atom_site_fract_x
_atom_site_fract_y
_atom_site_fract_z
Pr1 Pr 0.0000 0.0000 0.0000
Pr2 Pr 0.2287 0.2966 0.2500
Re1 Re 0.0000 0.5000 0.0000
O1 O 0.0000 0.4550 0.2500
O2 O 0.1239 0.3110 0.5300
O3 O 0.1320 0.0241 0.2500

8.
# PBE LiEuDyMg, optimized geometry
# formation enthalpy at 0 K	0.206	eV per formula unit
data_LiEuDyMg
_chemical_formula_sum 'Li4 Eu4 Dy4 Mg4'
_cell_length_a 7.7531
_cell_length_b 7.7531
_cell_length_c 7.7531
_cell_angle_alpha 90.00
_cell_angle_beta 90.00
_cell_angle_gamma 90.00
_space_group_name_H-M_alt 'F -4 3 m'
_space_group_IT_number 216
_space_group_name_Hall 'F -4 2 3'
loop_
_atom_site_label
_atom_site_type_symbol
_atom_site_fract_x
_atom_site_fract_y
_atom_site_fract_z
Li1 Li 0.0000 0.0000 0.0000
Eu1 Eu 0.2500 0.2500 0.2500
Dy1 Dy 0.2500 0.2500 0.7500
Mg1 Mg 0.0000 0.0000 0.5000

9.
# PBE LiPrEuRu, optimized geometry
# formation enthalpy at 0 K	-0.042	eV per formula unit
data_LiPrEuRu
_chemical_formula_sum 'Li4 Pr4 Eu4 Ru4'
_cell_length_a 7.1964
_cell_length_b 7.1964
_cell_length_c 7.1964
_cell_angle_alpha 90.00
_cell_angle_beta 90.00
_cell_angle_gamma 90.00
_space_group_name_H-M_alt 'F -4 3 m'
_space_group_IT_number 216
_space_group_name_Hall 'F -4 2 3'
loop_
_atom_site_label
_atom_site_type_symbol
_atom_site_fract_x
_atom_site_fract_y
_atom_site_fract_z
Li1 Li 0.0000 0.0000 0.0000
Pr1 Pr 0.2500 0.2500 0.7500
Eu1 Eu 0.2500 0.2500 0.2500
Ru1 Ru 0.0000 0.0000 0.5000

10.
# PBE K2TmTlI6, optimized geometry
# formation energy without anion corrections	-29.3	kcal/mol of atoms
data_K2TmTlI6
_chemical_formula_sum 'K6 Tm3 Tl3 I18'
_cell_length_a 8.6362
_cell_length_b 8.6362
_cell_length_c 22.3351
_cell_angle_alpha 90.00
_cell_angle_beta 90.00
_cell_angle_gamma 120.00
_space_group_name_H-M_alt 'R 3'
_space_group_IT_number 146
_space_group_name_Hall 'R 3'
loop_
_atom_site_label
_atom_site_type_symbol
_atom_site_fract_x
_atom_site_fract_y
_atom_site_fract_z
K1 K 0.0000 0.0000 0.0000
K2 K 0.0000 0.0000 0.4887
Tm1 Tm 0.0000 0.0000 0.7956
Tl1 Tl 0.0000 0.0000 0.2875
I1 I 0.0264 0.7344 0.8775
I2 I 0.0679 0.3580 0.3874

11.
# PBE LaBiRuC2, optimized geometry
# formation enthalpy at 0 K	12.728	eV per formula unit
data_LaBiRuC2
_chemical_formula_sum 'La1 Bi1 Ru1 C2'
_cell_length_a 4.2591
_cell_length_b 4.2591
_cell_length_c 6.5769
_cell_angle_alpha 90.00
_cell_angle_beta 90.00
_cell_angle_gamma 90.00
_space_group_name_H-M_alt 'P 4/m m m'
_space_group_IT_number 123
_space_group_name_Hall '-P 4 2'
loop_
_atom_site_label
_atom_site_type_symbol
_atom_site_fract_x
_atom_site_fract_y
_atom_site_fract_z
La1 La 0.0000 0.0000 0.0000
Bi1 Bi 0.0000 0.0000 0.5000
Ru1 Ru 0.5000 0.5000 0.5000
C1 C 0.0000 0.5000 0.0000

12.
# PBE ZrMo2W, optimized geometry
# formation enthalpy at 0 K	0.133	eV per formula unit
# excess energy over the best structure of this formula in the dataset	0.062	eV/atom
data_ZrMo2W
_chemical_formula_sum 'Zr2 Mo4 W2'
_cell_length_a 3.2487
_cell_length_b 4.6677
_cell_length_c 9.0937
_cell_angle_alpha 90.00
_cell_angle_beta 90.00
_cell_angle_gamma 90.00
_space_group_name_H-M_alt 'I m m m'
_space_group_IT_number 71
_space_group_name_Hall '-I 2 2'
loop_
_atom_site_label
_atom_site_type_symbol
_atom_site_fract_x
_atom_site_fract_y
_atom_site_fract_z
Zr1 Zr 0.0000 0.0000 0.0000
Mo1 Mo 0.0000 0.5000 0.2406
W1 W 0.0000 0.0000 0.5000

13.
# PBE Ba2SrBr, optimized geometry
# formation energy without anion corrections	-11.0	kcal/mol of atoms
# excess energy over the best structure of this formula in the dataset	0.274	eV/atom
data_Ba2SrBr
_chemical_formula_sum 'Ba4 Sr2 Br2'
_cell_length_a 8.7699
_cell_length_b 10.7033
_cell_length_c 4.3083
_cell_angle_alpha 90.00
_cell_angle_beta 90.11
_cell_angle_gamma 90.00
_space_group_name_H-M_alt 'C 1 2/m 1'
_space_group_IT_number 12
_space_group_name_Hall '-C 2y'
loop_
_atom_site_label
_atom_site_type_symbol
_atom_site_fract_x
_atom_site_fract_y
_atom_site_fract_z
Ba1 Ba 0.2500 0.2500 0.0000
Sr1 Sr 0.0000 0.0000 0.5000
Br1 Br 0.0000 0.5000 0.5000

14.
# PBE Ho3Zr2TaN6, optimized geometry
# formation energy without anion corrections	-37.5	kcal/mol of atoms
data_Ho3Zr2TaN6
_chemical_formula_sum 'Ho6 Zr4 Ta2 N12'
_cell_length_a 5.7129
_cell_length_b 9.8890
_cell_length_c 5.7844
_cell_angle_alpha 90.00
_cell_angle_beta 109.26
_cell_angle_gamma 90.00
_space_group_name_H-M_alt 'C 1 2/m 1'
_space_group_IT_number 12
_space_group_name_Hall '-C 2y'
loop_
_atom_site_label
_atom_site_type_symbol
_atom_site_fract_x
_atom_site_fract_y
_atom_site_fract_z
Ho1 Ho 0.0000 0.0000 0.0000
Ho2 Ho 0.0000 0.3327 0.0000
Zr1 Zr 0.0000 0.1665 0.5000
Ta1 Ta 0.0000 0.5000 0.5000
N1 N 0.2389 0.3380 0.7302
N2 N 0.2465 0.5000 0.2667

15.
# PBE Pm3HgIr, optimized geometry
# formation enthalpy at 0 K	-2.550	eV per formula unit
# excess energy over the best structure of this formula in the dataset	0.031	eV/atom
data_Pm3HgIr
_chemical_formula_sum 'Pm6 Hg2 Ir2'
_cell_length_a 5.7897
_cell_length_b 6.7773
_cell_length_c 8.3992
_cell_angle_alpha 100.76
_cell_angle_beta 101.75
_cell_angle_gamma 113.39
_space_group_name_H-M_alt 'P -1'
_space_group_IT_number 2
_space_group_name_Hall '-P 1'
loop_
_atom_site_label
_atom_site_type_symbol
_atom_site_fract_x
_atom_site_fract_y
_atom_site_fract_z
Pm1 Pm 0.0589 0.1976 0.3103
Pm2 Pm 0.3041 0.8326 0.1195
Pm3 Pm 0.3207 0.4537 0.7622
Hg1 Hg 0.3521 0.7477 0.4880
Ir1 Ir 0.2378 0.1809 0.9847

16.
# PBE AcCe2Y, optimized geometry
# formation enthalpy at 0 K	0.666	eV per formula unit
# excess energy over the best structure of this formula in the dataset	0.012	eV/atom
data_AcCe2Y
_chemical_formula_sum 'Ac1 Ce2 Y1'
_cell_length_a 3.6364
_cell_length_b 3.6364
_cell_length_c 10.2745
_cell_angle_alpha 90.00
_cell_angle_beta 90.00
_cell_angle_gamma 90.00
_space_group_name_H-M_alt 'P 4/m m m'
_space_group_IT_number 123
_space_group_name_Hall '-P 4 2'
loop_
_atom_site_label
_atom_site_type_symbol
_atom_site_fract_x
_atom_site_fract_y
_atom_site_fract_z
Ac1 Ac 0.0000 0.0000 0.0000
Ce1 Ce 0.5000 0.5000 0.2590
Y1 Y 0.0000 0.0000 0.5000

17.
# PBE BaMnRe2W, optimized geometry
# formation enthalpy at 0 K	12.762	eV per formula unit
data_BaMnRe2W
_chemical_formula_sum 'Ba1 Mn1 Re2 W1'
_cell_length_a 4.7982
_cell_length_b 4.7982
_cell_length_c 5.6263
_cell_angle_alpha 90.00
_cell_angle_beta 90.00
_cell_angle_gamma 90.00
_space_group_name_H-M_alt 'P 4/m m m'
_space_group_IT_number 123
_space_group_name_Hall '-P 4 2'
loop_
_atom_site_label
_atom_site_type_symbol
_atom_site_fract_x
_atom_site_fract_y
_atom_site_fract_z
Ba1 Ba 0.0000 0.0000 0.0000
Mn1 Mn 0.5000 0.5000 0.0000
Re1 Re 0.0000 0.5000 0.5000
W1 W 0.0000 0.0000 0.5000

18.
# PBE Tb2NpN3, optimized geometry
# formation energy without anion corrections	-25.6	kcal/mol of atoms
data_Tb2NpN3
_chemical_formula_sum 'Tb8 Np4 N12'
_cell_length_a 13.2288
_cell_length_b 3.4237
_cell_length_c 8.5260
_cell_angle_alpha 90.00
_cell_angle_beta 109.42
_cell_angle_gamma 90.00
_space_group_name_H-M_alt 'C 1 2/m 1'
_space_group_IT_number 12
_space_group_name_Hall '-C 2y'
loop_
_atom_site_label
_atom_site_type_symbol
_atom_site_fract_x
_atom_site_fract_y
_atom_site_fract_z
Tb1 Tb 0.1672 0.0000 0.3352
Tb2 Tb 0.1690 0.5000 0.8347
Np1 Np 0.0000 0.0000 0.5000
Np2 Np 0.0000 0.5000 0.0000
N1 N 0.0273 0.0000 0.8052
N2 N 0.1321 0.5000 0.5263
N3 N 0.1852 0.5000 0.1332

19.
# PBE Rb3OF, optimized geometry
# formation energy without anion corrections	-32.8	kcal/mol of atoms
# excess energy over the best structure of this formula in the dataset	0.169	eV/atom
data_Rb3OF
_chemical_formula_sum 'Rb3 O1 F1'
_cell_length_a 5.4414
_cell_length_b 5.4414
_cell_length_c 5.4414
_cell_angle_alpha 90.00
_cell_angle_beta 90.00
_cell_angle_gamma 90.00
_space_group_name_H-M_alt 'P m -3 m'
_space_group_IT_number 221
_space_group_name_Hall '-P 4 2 3'
loop_
_atom_site_label
_atom_site_type_symbol
_atom_site_fract_x
_atom_site_fract_y
_atom_site_fract_z
Rb1 Rb 0.0000 0.0000 0.5000
O1 O 0.0000 0.0000 0.0000
F1 F 0.5000 0.5000 0.5000

20.
# PBE VB3Sb, optimized geometry
# formation energy without anion corrections	28.7	kcal/mol of atoms
# excess energy over the best structure of this formula in the dataset	0.000	eV/atom
data_VB3Sb
_chemical_formula_sum 'V1 B3 Sb1'
_cell_length_a 4.0874
_cell_length_b 4.0874
_cell_length_c 4.0874
_cell_angle_alpha 90.00
_cell_angle_beta 90.00
_cell_angle_gamma 90.00
_space_group_name_H-M_alt 'P m -3 m'
_space_group_IT_number 221
_space_group_name_Hall '-P 4 2 3'
loop_
_atom_site_label
_atom_site_type_symbol
_atom_site_fract_x
_atom_site_fract_y
_atom_site_fract_z
V1 V 0.0000 0.0000 0.0000
B1 B 0.0000 0.0000 0.5000
Sb1 Sb 0.5000 0.5000 0.5000